# Ga2FeSi2

An optimized crystal structure of Ga2FeSi2 (PBE, the Alexandria database).

abc: 6.0142 6.0142 3.9620
angles: 90.00 90.00 90.00
Last column: nearest neighbours and their distance in Å.
Atoms (fractional coordinates):
Si (0.3606, 0.8606, 0.0000)  2 Fe 2.33, 1 Si 2.37, 2 Ga 2.53
Si (0.8606, 0.6394, 0.0000)  2 Fe 2.33, 1 Si 2.37, 2 Ga 2.53
Si (0.6394, 0.1394, 0.0000)  2 Fe 2.33, 1 Si 2.37, 2 Ga 2.53
Si (0.1394, 0.3606, 0.0000)  2 Fe 2.33, 1 Si 2.37, 2 Ga 2.53
Fe (0.0000, 0.0000, 0.0000)  4 Si 2.33
Fe (0.5000, 0.5000, 0.0000)  4 Si 2.33
Ga (0.1761, 0.6761, 0.5000)  6 Si 2.53-2.75
Ga (0.6761, 0.8239, 0.5000)  6 Si 2.53-2.75
Ga (0.8239, 0.3239, 0.5000)  6 Si 2.53-2.75
Ga (0.3239, 0.1761, 0.5000)  6 Si 2.53-2.75

# GaFe3Si2

An optimized crystal structure of GaFe3Si2 (PBE, the Alexandria database).

abc: 3.8367 4.9479 4.9479
angles: 120.00 90.00 90.00
Last column: nearest neighbours and their distance in Å.
Atoms (fractional coordinates):
Ga (0.0000, 0.0000, 0.0000)  6 Fe 2.47
Fe (0.0000, 0.5000, 0.0000)  4 Si 2.39, 2 Ga 2.47, 4 Fe 2.47
Fe (0.0000, 0.5000, 0.5000)  4 Si 2.39, 4 Fe 2.47, 2 Ga 2.47
Fe (0.0000, 0.0000, 0.5000)  4 Si 2.39, 4 Fe 2.47, 2 Ga 2.47
Si (0.5000, 0.3333, 0.6667)  6 Fe 2.39
Si (0.5000, 0.6667, 0.3333)  6 Fe 2.39

# TbGa2Fe2Si

An optimized crystal structure of TbGa2Fe2Si (PBE, the Alexandria database).

abc: 4.2585 4.2585 5.5353
angles: 90.00 90.00 90.00
Last column: nearest neighbours and their distance in Å.
Atoms (fractional coordinates):
Tb (0.0000, 0.0000, 0.5000)  2 Si 2.77
Ga (0.5000, 0.5000, 0.7384)  4 Fe 2.57, 1 Ga 2.64
Ga (0.5000, 0.5000, 0.2616)  4 Fe 2.57, 1 Ga 2.64
Fe (0.5000, 0.0000, 0.0000)  2 Si 2.13
Fe (0.0000, 0.5000, 0.0000)  2 Si 2.13
Si (0.0000, 0.0000, 0.0000)  4 Fe 2.13

# GaFeSiTc

An optimized crystal structure of GaFeSiTc (PBE, the Alexandria database).

abc: 4.1560 4.1560 4.1560
angles: 60.00 60.00 60.00
Last column: nearest neighbours and their distance in Å.
Atoms (fractional coordinates):
Si (0.2500, 0.2500, 0.2500)  4 Tc 2.55, 4 Fe 2.55
Tc (0.0000, 0.0000, 0.0000)  4 Ga 2.55, 4 Si 2.55
Ga (0.7500, 0.7500, 0.7500)  4 Fe 2.55, 4 Tc 2.55
Fe (0.5000, 0.5000, 0.5000)  4 Si 2.55, 4 Ga 2.55

# Ti2GaFe5Si2

An optimized crystal structure of Ti2GaFe5Si2 (PBE, the Alexandria database).

abc: 3.2229 8.8120 8.8120
angles: 90.00 90.00 90.00
Last column: nearest neighbours and their distance in Å.
Atoms (fractional coordinates):
Ti (0.0000, 0.6727, 0.1727)  3 Si 2.53-2.65, 6 Fe 2.69-2.82
Ti (0.0000, 0.3273, 0.8273)  3 Si 2.53-2.65, 6 Fe 2.69-2.82
Ti (0.0000, 0.1727, 0.3273)  3 Si 2.53-2.65, 6 Fe 2.69-2.82
Ti (0.0000, 0.8273, 0.6727)  3 Si 2.53-2.65, 6 Fe 2.69-2.82
Ga (0.0000, 0.0000, 0.0000)  8 Fe 2.49
Ga (0.0000, 0.5000, 0.5000)  8 Fe 2.49
Fe (0.5000, 0.2051, 0.0662)  2 Si 2.26, 2 Ga 2.49
Fe (0.5000, 0.7949, 0.9338)  2 Si 2.26, 2 Ga 2.49
Fe (0.5000, 0.0662, 0.7949)  2 Si 2.26, 2 Ga 2.49
Fe (0.5000, 0.7051, 0.4338)  2 Si 2.26, 2 Ga 2.49
Fe (0.5000, 0.9338, 0.2051)  2 Si 2.26, 2 Ga 2.49
Fe (0.5000, 0.2949, 0.5662)  2 Si 2.26, 2 Ga 2.49
Fe (0.5000, 0.5662, 0.7051)  2 Si 2.26, 2 Ga 2.49
Fe (0.5000, 0.4338, 0.2949)  2 Si 2.26, 2 Ga 2.49
Fe (0.5000, 0.5000, 0.0000)  4 Si 2.24
Fe (0.5000, 0.0000, 0.5000)  4 Si 2.24
Si (0.0000, 0.1243, 0.6243)  6 Fe 2.24-2.26
Si (0.0000, 0.8757, 0.3757)  6 Fe 2.24-2.26
Si (0.0000, 0.6243, 0.8757)  6 Fe 2.24-2.26
Si (0.0000, 0.3757, 0.1243)  6 Fe 2.24-2.26

# TlGa2FeSi

An optimized crystal structure of TlGa2FeSi (PBE, the Alexandria database).

abc: 4.8808 4.4628 4.8808
angles: 90.00 90.00 90.00
Last column: nearest neighbours and their distance in Å.
Atoms (fractional coordinates):
Tl (0.5000, 0.5000, 0.5000)  8 Ga 3.31, 4 Fe 3.45
Si (0.0000, 0.0000, 0.0000)  2 Fe 2.23, 4 Ga 2.44
Fe (0.0000, 0.5000, 0.0000)  2 Si 2.23
Ga (0.0000, 0.0000, 0.5000)  2 Si 2.44
Ga (0.5000, 0.0000, 0.0000)  2 Si 2.44

# TmGa2Fe2Si

An optimized crystal structure of TmGa2Fe2Si (PBE, the Alexandria database).

abc: 4.2252 4.2252 5.4766
angles: 90.00 90.00 90.00
Last column: nearest neighbours and their distance in Å.
Atoms (fractional coordinates):
Tm (0.0000, 0.0000, 0.5000)  2 Si 2.74
Ga (0.5000, 0.5000, 0.7358)  4 Fe 2.56, 1 Ga 2.58
Ga (0.5000, 0.5000, 0.2642)  4 Fe 2.56, 1 Ga 2.58
Fe (0.5000, 0.0000, 0.0000)  2 Si 2.11
Fe (0.0000, 0.5000, 0.0000)  2 Si 2.11
Si (0.0000, 0.0000, 0.0000)  4 Fe 2.11

# U2GaFe5Si2

An optimized crystal structure of U2GaFe5Si2 (PBE, the Alexandria database).

abc: 3.2055 9.4282 9.4282
angles: 90.00 90.00 90.00
Last column: nearest neighbours and their distance in Å.
Atoms (fractional coordinates):
U (0.0000, 0.6787, 0.1787)  3 Si 2.70-2.86, 6 Fe 2.85-2.87
U (0.0000, 0.3213, 0.8213)  3 Si 2.70-2.86, 6 Fe 2.85-2.87
U (0.0000, 0.1787, 0.3213)  3 Si 2.70-2.86, 6 Fe 2.85-2.87
U (0.0000, 0.8213, 0.6787)  3 Si 2.70-2.86, 6 Fe 2.85-2.87
Ga (0.0000, 0.0000, 0.0000)  8 Fe 2.66
Ga (0.0000, 0.5000, 0.5000)  8 Fe 2.66
Fe (0.5000, 0.2127, 0.0737)  2 Si 2.30
Fe (0.5000, 0.7873, 0.9263)  2 Si 2.30
Fe (0.5000, 0.0737, 0.7873)  2 Si 2.30
Fe (0.5000, 0.7127, 0.4263)  2 Si 2.30
Fe (0.5000, 0.9263, 0.2127)  2 Si 2.30
Fe (0.5000, 0.2873, 0.5737)  2 Si 2.30
Fe (0.5000, 0.5737, 0.7127)  2 Si 2.30
Fe (0.5000, 0.4263, 0.2873)  2 Si 2.30
Fe (0.5000, 0.5000, 0.0000)  4 Si 2.25
Fe (0.5000, 0.0000, 0.5000)  4 Si 2.25
Si (0.0000, 0.1189, 0.6189)  6 Fe 2.25-2.30
Si (0.0000, 0.8811, 0.3811)  6 Fe 2.25-2.30
Si (0.0000, 0.6189, 0.8811)  6 Fe 2.25-2.30
Si (0.0000, 0.3811, 0.1189)  6 Fe 2.25-2.30

# V2Ga2Fe7Si

An optimized crystal structure of V2Ga2Fe7Si (PBE, the Alexandria database).

abc: 3.4335 3.4335 13.1327
angles: 82.47 82.47 90.00
Last column: nearest neighbours and their distance in Å.
Atoms (fractional coordinates):
V (0.7611, 0.7611, 0.4779)  1 Fe 2.49, 4 V 2.49, 1 Ga 2.50
V (0.2389, 0.2389, 0.5221)  1 Fe 2.49, 4 V 2.49, 1 Ga 2.50
Ga (0.1429, 0.1429, 0.7159)  8 Fe 2.49-2.50, 1 V 2.50
Ga (0.8571, 0.8571, 0.2841)  8 Fe 2.49-2.50, 1 V 2.50
Fe (0.5000, 0.5000, 0.0000)  4 Si 2.43, 8 Fe 2.53
Fe (0.3344, 0.3344, 0.3295)  1 V 2.49, 4 Ga 2.50
Fe (0.6656, 0.6656, 0.6705)  1 V 2.49, 4 Ga 2.50
Fe (0.0724, 0.5725, 0.8558)  6 Fe 2.43-2.53, 2 Ga 2.49, 2 Si 2.53
Fe (0.5725, 0.0724, 0.8558)  6 Fe 2.43-2.53, 2 Ga 2.49, 2 Si 2.53
Fe (0.4275, 0.9276, 0.1442)  6 Fe 2.43-2.53, 2 Ga 2.49, 2 Si 2.53
Fe (0.9276, 0.4275, 0.1442)  6 Fe 2.43-2.53, 2 Ga 2.49, 2 Si 2.53
Si (0.0000, 0.0000, 0.0000)  12 Fe 2.43-2.53

# GaFe2SiW

An optimized crystal structure of GaFe2SiW (PBE, the Alexandria database).

abc: 4.1943 4.6201 4.1943
angles: 90.00 90.00 90.00
Last column: nearest neighbours and their distance in Å.
Atoms (fractional coordinates):
Si (0.0000, 0.0000, 0.0000)  4 Fe 2.10, 2 W 2.31
Ga (0.5000, 0.5000, 0.5000)  4 W 2.97, 8 Fe 3.12
W (0.0000, 0.5000, 0.0000)  2 Si 2.31
Fe (0.0000, 0.0000, 0.5000)  2 Si 2.10
Fe (0.5000, 0.0000, 0.0000)  2 Si 2.10

Number 1: formation energy (no corrections) 160 meV/atom. Number 2: formation energy (no corrections) -315 meV/atom. Number 3: formation energy (no corrections) -257 meV/atom. Number 4: formation energy (no corrections) -181 meV/atom. Number 5: formation energy (no corrections) -367 meV/atom. Number 6: formation energy (no corrections) 485 meV/atom. Number 7: formation energy (no corrections) -223 meV/atom. Number 8: formation energy (no corrections) -182 meV/atom. Number 9: formation energy (no corrections) 61 meV/atom. Number 10: formation energy (no corrections) 755 meV/atom.